# 1
## SrGaGeTe2 (PBE-GGA)

Data for an optimized crystal structure of SrGaGeTe2.

Lattice parameters (Å, degrees): 6.1624 5.7437 6.1624 90.00 90.00 90.00
Sites, in units of the cell vectors:
Sr1 0.0000 0.0000 0.0000
Ge1 0.0000 0.5000 0.0000
Te1 0.0000 0.0000 0.5000
Te2 0.5000 0.0000 0.0000
Ga1 0.5000 0.5000 0.5000

Formation energy without anion corrections ... 0.393 eV per atom
Calculated total energy ... -2.729 eV per atom
M_tot ... 0.000 μB/f.u.
ρ ... 3.69 g/cm3

=====

# 2
## Cr8Co3NiS16 (PBE-GGA)

Data for an optimized crystal structure of Cr8Co3NiS16.

Lattice parameters (Å, degrees): 6.9032 6.9019 11.9572 73.22 90.00 120.01
Sites, in units of the cell vectors:
Cr1 0.9995 0.4990 0.0015
Cr2 0.5002 0.5004 0.4993
Cr3 0.7509 0.0019 0.2490
Cr4 0.2498 0.9996 0.7508
Cr5 0.7510 0.5000 0.2490
Cr6 0.2499 0.4995 0.7507
Cr7 0.2490 0.5000 0.2490
Cr8 0.7496 0.4995 0.7507
Co1 0.8126 0.1251 0.5625
Co2 0.1875 0.8750 0.4374
Co3 0.6874 0.8748 0.9376
Ni1 0.3126 0.1252 0.0625
S1 0.8780 0.2560 0.3659
S2 0.3778 0.2556 0.8667
S3 0.1169 0.7338 0.1277
S4 0.6159 0.7318 0.6281
S5 0.1168 0.2556 0.1277
S6 0.6158 0.2560 0.6281
S7 0.6387 0.2556 0.1277
S8 0.1403 0.2560 0.6281
S9 0.6221 0.7441 0.1338
S10 0.1222 0.7444 0.6333
S11 0.3836 0.2672 0.3718
S12 0.8834 0.2669 0.8725
S13 0.3836 0.7445 0.3719
S14 0.8835 0.7441 0.8725
S15 0.8609 0.7445 0.3719
S16 0.3605 0.7441 0.8725

Formation energy without anion corrections ... -0.614 eV per atom
Calculated total energy ... -6.690 eV per atom
M_tot ... 13.417 μB/f.u.
ρ ... 4.16 g/cm3

=====

# 3
## LiTm2 (PBE-GGA)

Data for an optimized crystal structure of LiTm2.

Lattice parameters (Å, degrees): 6.2454 6.2454 3.3315 57.83 57.83 50.08
Sites, in units of the cell vectors:
Li1 0.7804 0.3269 0.2363
Tm1 0.4473 0.9936 0.6289
Tm2 0.1138 0.6601 0.8445

ΔH_f (0 K) ... 181 meV per atom
Calculated total energy ... -3.438 eV per atom
M_tot ... 0.000 μB/f.u.
ρ ... 7.10 g/cm3

=====

# 4
## U2BiMo (PBE-GGA)

Data for an optimized crystal structure of U2BiMo.

Lattice parameters (Å, degrees): 3.8373 3.8373 6.2286 90.00 90.00 90.00
Sites, in units of the cell vectors:
Mo1 0.5000 0.5000 0.0000
U1 0.0000 0.0000 0.8029
U2 0.0000 0.0000 0.1971
Bi1 0.5000 0.5000 0.5000

ΔH_f (0 K) ... 267 meV per atom
Calculated total energy ... -9.055 eV per atom
M_tot ... 0.017 μB/f.u.
ρ ... 14.14 g/cm3

=====

# 5
## Zr2TaCl (PBE-GGA)

Data for an optimized crystal structure of Zr2TaCl.

Lattice parameters (Å, degrees): 4.8494 4.8494 4.8494 60.00 60.00 60.00
Sites, in units of the cell vectors:
Cl1 0.5000 0.5000 0.5000
Ta1 0.2500 0.2500 0.2500
Zr1 0.0000 0.0000 0.0000
Zr2 0.7500 0.7500 0.7500

Formation energy without anion corrections ... 0.595 eV per atom
Calculated total energy ... -7.104 eV per atom
M_tot ... 0.001 μB/f.u.
ρ ... 8.21 g/cm3

=====

# 6
## MoHI2 (PBE-GGA)

Data for an optimized crystal structure of MoHI2.

Lattice parameters (Å, degrees): 6.0176 6.0176 6.7766 63.64 63.64 90.00
Sites, in units of the cell vectors:
I1 0.5841 0.1250 0.2500
I2 0.1659 0.6250 0.2500
I3 0.3750 0.4159 0.7500
I4 0.8750 0.8341 0.7500
H1 0.5000 0.5000 0.0000
H2 0.2500 0.7500 0.5000
Mo1 0.0000 0.0000 0.0000
Mo2 0.7500 0.2500 0.5000

Calculated total energy ... -3.481 eV per atom
M_tot ... 1.021 μB/f.u.
ρ ... 6.10 g/cm3

=====

# 7
## Sr6LiCl12 (PBE-GGA)

Data for an optimized crystal structure of Sr6LiCl12.

Lattice parameters (Å, degrees): 8.4436 8.4436 8.4436 99.47 99.47 99.47
Sites, in units of the cell vectors:
Sr1 0.1312 0.2873 0.6161
Sr2 0.7127 0.3839 0.8688
Sr3 0.3839 0.8688 0.7127
Sr4 0.8688 0.7127 0.3839
Sr5 0.2873 0.6161 0.1312
Sr6 0.6161 0.1312 0.2873
Li1 0.0000 0.0000 0.0000
Cl1 0.4380 0.1779 0.5841
Cl2 0.1779 0.5841 0.4380
Cl3 0.5841 0.4380 0.1779
Cl4 0.5620 0.8221 0.4159
Cl5 0.8221 0.4159 0.5620
Cl6 0.4159 0.5620 0.8221
Cl7 0.0479 0.9349 0.6899
Cl8 0.3101 0.9521 0.0651
Cl9 0.0651 0.3101 0.9521
Cl10 0.9521 0.0651 0.3101
Cl11 0.6899 0.0479 0.9349
Cl12 0.9349 0.6899 0.0479

Formation energy without anion corrections ... -2.279 eV per atom
Calculated total energy ... -4.077 eV per atom
M_tot ... 0.000 μB/f.u.
ρ ... 2.77 g/cm3

=====

# 8
## Si2BiCl2 (PBE-GGA)

Data for an optimized crystal structure of Si2BiCl2.

Lattice parameters (Å, degrees): 8.7725 8.7725 3.2493 90.00 90.00 90.00
Sites, in units of the cell vectors:
Si1 0.2650 0.7650 0.0000
Si2 0.7650 0.7350 0.0000
Si3 0.7350 0.2350 0.0000
Si4 0.2350 0.2650 0.0000
Bi1 0.0000 0.0000 0.0000
Bi2 0.5000 0.5000 0.0000
Cl1 0.1269 0.6269 0.5000
Cl2 0.6269 0.8731 0.5000
Cl3 0.8731 0.3731 0.5000
Cl4 0.3731 0.1269 0.5000

Formation energy without anion corrections ... 0.110 eV per atom
Calculated total energy ... -3.574 eV per atom
M_tot ... 0.000 μB/f.u.
ρ ... 4.46 g/cm3

=====

# 9
## Cs3Cu2HgBr9 (PBE-GGA)

Data for an optimized crystal structure of Cs3Cu2HgBr9.

Lattice parameters (Å, degrees): 7.6259 7.6259 9.3761 90.00 90.00 120.00
Sites, in units of the cell vectors:
Cs1 0.3333 0.6667 0.6663
Cs2 0.0000 0.0000 0.0000
Cs3 0.6667 0.3333 0.3337
Cu1 0.3333 0.6667 0.1557
Cu2 0.6667 0.3333 0.8443
Hg1 0.0000 0.0000 0.5000
Br1 0.8262 0.1737 0.6795
Br2 0.8262 0.6525 0.6795
Br3 0.3475 0.1737 0.6795
Br4 0.6525 0.8262 0.3205
Br5 0.1737 0.3475 0.3205
Br6 0.1737 0.8262 0.3205
Br7 0.5000 0.0000 0.0000
Br8 0.0000 0.5000 0.0000
Br9 0.5000 0.5000 0.0000

Formation energy without anion corrections ... -0.907 eV per atom
Calculated total energy ... -2.648 eV per atom
M_tot ... 0.000 μB/f.u.
ρ ... 5.08 g/cm3

=====

# 10
## K2HgRu (PBE-GGA)

Data for an optimized crystal structure of K2HgRu.

Lattice parameters (Å, degrees): 5.3469 5.3469 5.3469 120.13 120.13 89.78
Sites, in units of the cell vectors:
Hg1 0.7500 0.2500 0.5000
K1 0.0000 0.0000 0.0000
K2 0.2500 0.7500 0.5000
Ru1 0.5000 0.5000 0.0000

ΔH_f (0 K) ... 787 meV per atom
Calculated total energy ... -2.157 eV per atom
M_tot ... 1.600 μB/f.u.
ρ ... 5.85 g/cm3

=====

# 11
## KZn2Pb (PBE-GGA)

Data for an optimized crystal structure of KZn2Pb.

Lattice parameters (Å, degrees): 6.3163 6.3163 6.3163 147.31 126.56 64.07
Sites, in units of the cell vectors:
K1 0.5106 0.5106 0.0000
Pb1 0.2141 0.7141 0.5000
Zn1 0.9787 0.9787 0.0000
Zn2 0.7966 0.2966 0.5000

ΔH_f (0 K) ... 132 meV per atom
Calculated total energy ... -1.707 eV per atom
M_tot ... 0.000 μB/f.u.
ρ ... 5.79 g/cm3

=====

# 12
## Ce2PmDy (PBE-GGA)

Data for an optimized crystal structure of Ce2PmDy.

Lattice parameters (Å, degrees): 3.4828 3.4828 10.2210 90.00 90.00 90.00
Sites, in units of the cell vectors:
Pm1 0.5000 0.5000 0.5000
Ce1 0.0000 0.0000 0.7526
Ce2 0.0000 0.0000 0.2474
Dy1 0.5000 0.5000 0.0000

ΔH_f (0 K) ... 115 meV per atom
Calculated total energy ... -5.190 eV per atom
M_tot ... 1.536 μB/f.u.
ρ ... 7.87 g/cm3

=====

# 13
## Rb2Sc2BiTe2 (PBE-GGA)

Data for an optimized crystal structure of Rb2Sc2BiTe2.

Lattice parameters (Å, degrees): 5.4929 5.4929 9.9358 106.05 106.05 90.00
Sites, in units of the cell vectors:
Rb1 0.1898 0.1898 0.3795
Rb2 0.8102 0.8102 0.6205
Sc1 0.0000 0.5000 0.0000
Sc2 0.5000 0.0000 0.0000
Bi1 0.0000 0.0000 0.0000
Te1 0.3955 0.3955 0.7911
Te2 0.6045 0.6045 0.2089

Formation energy without anion corrections ... -0.673 eV per atom
Calculated total energy ... -4.211 eV per atom
M_tot ... 0.778 μB/f.u.
ρ ... 4.36 g/cm3

=====

# 14
## Ba2S2Br (PBE-GGA)

Data for an optimized crystal structure of Ba2S2Br.

Lattice parameters (Å, degrees): 5.4388 8.2388 9.1795 109.61 107.23 90.00
Sites, in units of the cell vectors:
Ba1 0.7536 0.1379 0.3087
Ba2 0.5551 0.6379 0.3087
Ba3 0.2464 0.8621 0.6913
Ba4 0.4449 0.3621 0.6913
S1 0.8836 0.5136 0.6141
S2 0.2695 0.9864 0.3859
S3 0.1164 0.4864 0.3859
S4 0.7305 0.0136 0.6141
Br1 0.6026 0.7500 0.0000
Br2 0.3974 0.2500 0.0000

Formation energy without anion corrections ... -1.668 eV per atom
Calculated total energy ... -4.423 eV per atom
M_tot ... 1.001 μB/f.u.
ρ ... 3.78 g/cm3

=====

# 15
## KMn2CuS4 (PBE-GGA)

Data for an optimized crystal structure of KMn2CuS4.

Lattice parameters (Å, degrees): 3.6762 6.6566 13.0291 90.00 90.00 106.03
Sites, in units of the cell vectors:
K1 0.1199 0.2398 0.7500
K2 0.8801 0.7602 0.2500
Mn1 0.3722 0.7444 0.5630
Mn2 0.6278 0.2556 0.0630
Mn3 0.6278 0.2556 0.4370
Mn4 0.3722 0.7444 0.9370
Cu1 0.8374 0.6747 0.7500
Cu2 0.1626 0.3253 0.2500
S1 0.2486 0.4972 0.0977
S2 0.7514 0.5028 0.5977
S3 0.7514 0.5028 0.9023
S4 0.2486 0.4972 0.4023
S5 0.0000 0.0000 0.5000
S6 0.0000 0.0000 0.0000
S7 0.4361 0.8721 0.7500
S8 0.5639 0.1279 0.2500

Formation energy without anion corrections ... -0.565 eV per atom
Calculated total energy ... -5.571 eV per atom
M_tot ... 7.991 μB/f.u.
ρ ... 3.69 g/cm3

=====

# 16
## EuNi9Ge4 (PBE-GGA)

Data for an optimized crystal structure of EuNi9Ge4.

Lattice parameters (Å, degrees): 8.1338 8.1338 8.1338 118.04 118.04 93.43
Sites, in units of the cell vectors:
Eu1 0.7500 0.7500 0.0000
Eu2 0.2500 0.2500 0.0000
Ni1 0.3023 0.8023 0.8677
Ni2 0.6977 0.1977 0.1323
Ni3 0.9347 0.4347 0.1323
Ni4 0.8023 0.9347 0.5000
Ni5 0.5653 0.6977 0.5000
Ni6 0.0653 0.5653 0.8677
Ni7 0.1977 0.0653 0.5000
Ni8 0.4347 0.3023 0.5000
Ni9 0.0000 0.5000 0.5000
Ni10 0.5000 0.0000 0.5000
Ni11 0.7924 0.2924 0.7265
Ni12 0.2076 0.7076 0.2735
Ni13 0.5659 0.0659 0.2735
Ni14 0.2924 0.5659 0.5000
Ni15 0.9341 0.2076 0.5000
Ni16 0.4341 0.9341 0.7265
Ni17 0.7076 0.4341 0.5000
Ni18 0.0659 0.7924 0.5000
Ge1 0.7189 0.5541 0.2730
Ge2 0.2811 0.4459 0.7270
Ge3 0.5541 0.2811 0.8352
Ge4 0.2189 0.9459 0.1648
Ge5 0.4459 0.7189 0.1648
Ge6 0.7811 0.0541 0.8352
Ge7 0.0541 0.2189 0.2730
Ge8 0.9459 0.7811 0.7270

ΔH_f (0 K) ... -170 meV per atom
Calculated total energy ... -5.940 eV per atom
M_tot ... 6.825 μB/f.u.
ρ ... 8.24 g/cm3

=====

# 17
## Mn2NiTe2 (PBE-GGA)

Data for an optimized crystal structure of Mn2NiTe2.

Lattice parameters (Å, degrees): 3.5237 3.5237 7.8079 76.96 76.96 90.00
Sites, in units of the cell vectors:
Ni1 0.0000 0.0000 0.0000
Te1 0.3843 0.3843 0.2314
Te2 0.6157 0.6157 0.7686
Mn1 0.7500 0.2500 0.5000
Mn2 0.2500 0.7500 0.5000

Formation energy without anion corrections ... 0.412 eV per atom
Calculated total energy ... -5.669 eV per atom
M_tot ... 3.435 μB/f.u.
ρ ... 7.66 g/cm3

=====

# 18
## NaIrIO2 (PBE-GGA)

Data for an optimized crystal structure of NaIrIO2.

Lattice parameters (Å, degrees): 3.9027 3.9027 6.3377 90.00 90.00 90.00
Sites, in units of the cell vectors:
I1 0.0000 0.0000 0.5000
Na1 0.5000 0.5000 0.5000
Ir1 0.0000 0.0000 0.0000
O1 0.0000 0.5000 0.0000
O2 0.5000 0.0000 0.0000

Formation energy without anion corrections ... -0.505 eV per atom
Calculated total energy ... -4.835 eV per atom
M_tot ... 0.000 μB/f.u.
ρ ... 6.44 g/cm3

=====

# 19
## Ac3Al4Zn2 (PBE-GGA)

Data for an optimized crystal structure of Ac3Al4Zn2.

Lattice parameters (Å, degrees): 4.5015 6.4895 9.0600 97.89 90.00 110.29
Sites, in units of the cell vectors:
Ac1 0.6653 0.3306 0.6660
Ac2 0.0000 0.0000 0.0000
Ac3 0.3347 0.6694 0.3340
Al1 0.7228 0.4455 0.0589
Al2 0.2772 0.5545 0.9411
Al3 0.9448 0.8895 0.6141
Al4 0.0552 0.1105 0.3859
Zn1 0.6106 0.2213 0.2787
Zn2 0.3894 0.7787 0.7213

ΔH_f (0 K) ... -346 meV per atom
Calculated total energy ... -3.662 eV per atom
M_tot ... 0.001 μB/f.u.
ρ ... 6.22 g/cm3

=====

# 20
## Na3Li2Bi2 (PBE-GGA)

Data for an optimized crystal structure of Na3Li2Bi2.

Lattice parameters (Å, degrees): 4.8470 3.4436 11.5342 90.00 77.73 90.00
Sites, in units of the cell vectors:
Na1 0.2882 0.0000 0.4245
Na2 0.0000 0.0000 0.0000
Na3 0.7118 0.0000 0.5755
Li1 0.4120 0.0000 0.1759
Li2 0.5880 0.0000 0.8241
Bi1 0.1355 0.5000 0.7288
Bi2 0.8645 0.5000 0.2712

ΔH_f (0 K) ... -239 meV per atom
Calculated total energy ... -2.460 eV per atom
M_tot ... 0.000 μB/f.u.
ρ ... 4.42 g/cm3